Entry 1:
A relaxed structure of Tm3AgRh. Source: the Alexandria database, functional PBE-GGA.

Summary:
The calculation puts the total magnetization at 0.0 μB/cell. As for the total energy: -51.411 eV/cell. For the density of states at the Fermi level, the calculation gives 6.4 states/eV/cell. As for the volume: 262.5 Å³ per cell.

Cell: 3.801 8.600 8.604 Å, 69.00 90.00 90.00°
Fractional positions:
Tm1 0.864 0.383 0.812
Tm2 0.864 0.006 0.680
Tm3 0.863 0.628 0.058
Tm4 0.363 0.024 0.076
Tm5 0.863 0.761 0.435
Tm6 0.363 0.364 0.417
Ag1 0.363 0.694 0.746
Ag2 0.863 0.194 0.247
Rh1 0.363 0.694 0.246
Rh2 0.364 0.194 0.746

***

Entry 2:
A relaxed structure of TmAgRh4. Source: the Alexandria database, functional PBE-GGA.

Summary:
The calculation puts the total magnetization at 0.3 μB/cell. As for the total energy: -38.686 eV/cell. For the density of states at the Fermi level, the calculation gives 9.0 states/eV/cell. As for the volume: 101.3 Å³ per cell.

Cell: 5.233 5.233 5.233 Å, 60.00 60.00 60.00°
Last column: magnetic moment on the atom in μB.
Fractional positions:
Tm1 0.250 0.250 0.250  -0.02
Rh1 0.625 0.625 0.124  0.08
Rh2 0.625 0.124 0.625  0.08
Rh3 0.625 0.625 0.625  0.08
Rh4 0.124 0.625 0.625  0.08
Ag1 0.000 0.000 0.000  0.00

***

Entry 3:
A relaxed structure of Tm4AgRh2. Source: the Alexandria database, functional PBE-GGA.

Summary:
The calculation puts the total magnetization at 0.0 μB/cell. As for the total energy: -79.611 eV/cell. For the density of states at the Fermi level, the calculation gives 8.6 states/eV/cell. As for the volume: 321.5 Å³ per cell.

Cell: 7.100 7.118 7.522 Å, 106.95 105.66 106.64°
Fractional positions:
Tm1 0.976 0.222 0.361
Tm2 0.371 0.485 0.205
Tm3 0.825 0.610 0.601
Tm4 0.778 0.163 0.768
Tm5 0.420 0.045 0.316
Tm6 0.262 0.133 0.747
Tm7 0.527 0.787 0.934
Tm8 0.902 0.627 0.145
Ag1 0.257 0.712 0.524
Ag2 0.030 0.970 0.993
Rh1 0.435 0.403 0.594
Rh2 0.730 0.862 0.380
Rh3 0.614 0.239 0.099
Rh4 0.123 0.493 0.834

***

Entry 4:
A relaxed structure of Tm4AgRh. Source: the Alexandria database, functional PBE-GGA.

Summary:
The calculation puts the total magnetization at 0.0 μB/cell. As for the total energy: -124.403 eV/cell. For the density of states at the Fermi level, the calculation gives 23.9 states/eV/cell. As for the volume: 585.4 Å³ per cell.

Cell: 9.390 9.390 9.390 Å, 60.00 60.00 60.00°
Fractional positions:
Tm1 0.396 0.396 0.396
Tm2 0.811 0.396 0.396
Tm3 0.396 0.811 0.396
Tm4 0.396 0.396 0.811
Tm5 0.562 0.562 0.938
Tm6 0.938 0.938 0.562
Tm7 0.562 0.938 0.562
Tm8 0.938 0.562 0.938
Tm9 0.938 0.562 0.562
Tm10 0.562 0.938 0.938
Tm11 0.185 0.185 0.815
Tm12 0.815 0.815 0.185
Tm13 0.185 0.815 0.185
Tm14 0.815 0.185 0.815
Tm15 0.815 0.185 0.185
Tm16 0.185 0.815 0.815
Ag1 0.167 0.167 0.167
Ag2 0.498 0.167 0.167
Ag3 0.167 0.498 0.167
Ag4 0.167 0.167 0.498
Rh1 0.606 0.606 0.606
Rh2 0.182 0.606 0.606
Rh3 0.606 0.182 0.606
Rh4 0.606 0.606 0.182

***

Entry 5:
A relaxed structure of TmAgRh. Source: the Alexandria database, functional PBE-GGA.

Summary:
The calculation puts the total magnetization at 0.0 μB/cell. As for the total energy: -31.975 eV/cell. For the density of states at the Fermi level, the calculation gives 1.7 states/eV/cell. As for the volume: 117.9 Å³ per cell.

Cell: 3.343 5.542 7.141 Å, 112.83 103.54 90.00°
Fractional positions:
Tm1 0.815 0.315 0.630
Tm2 0.185 0.685 0.370
Ag1 0.500 0.745 0.000
Ag2 0.500 0.255 0.000
Rh1 0.143 0.143 0.286
Rh2 0.857 0.857 0.714

***

Entry 6:
A relaxed structure of Tm6AgRh5. Source: the Alexandria database, functional PBE-GGA.

Summary:
The calculation puts the total magnetization at 0.0 μB/cell. As for the total energy: -76.699 eV/cell. For the density of states at the Fermi level, the calculation gives 7.0 states/eV/cell. As for the volume: 238.0 Å³ per cell.

Cell: 4.837 8.364 8.364 Å, 120.30 106.77 106.77°
Fractional positions:
Tm1 0.254 0.084 0.424
Tm2 0.746 0.576 0.916
Tm3 0.759 0.259 0.259
Tm4 0.241 0.741 0.741
Tm5 0.254 0.424 0.084
Tm6 0.746 0.916 0.576
Rh1 0.500 0.166 0.834
Rh2 0.000 0.334 0.666
Rh3 0.500 0.500 0.500
Rh4 0.000 0.666 0.334
Rh5 0.500 0.834 0.166
Ag1 0.000 0.000 0.000

***

Entry 7:
A relaxed structure of Tm4AgRh. Source: the Alexandria database, functional PBE-GGA.

Summary:
The calculation puts the total magnetization at 0.0 μB/cell. As for the total energy: -29.916 eV/cell. For the density of states at the Fermi level, the calculation gives 6.4 states/eV/cell. As for the volume: 161.6 Å³ per cell.

Cell: 4.839 4.841 6.897 Å, 89.93 89.97 90.00°
Fractional positions:
Tm1 0.501 0.997 0.262
Tm2 0.502 0.998 0.734
Tm3 0.002 0.498 0.734
Tm4 0.001 0.497 0.262
Ag1 0.501 0.497 0.998
Rh1 0.001 0.997 0.498

***

Entry 8:
A relaxed structure of Tm5Ag2Rh2. Source: the Alexandria database, functional PBE-GGA.

Summary:
The calculation puts the total magnetization at 0.0 μB/cell. As for the total energy: -95.969 eV/cell. For the density of states at the Fermi level, the calculation gives 11.5 states/eV/cell. As for the volume: 421.6 Å³ per cell.

Cell: 7.463 7.300 8.556 Å, 115.25 90.00 90.00°
Fractional positions:
Tm1 0.000 0.000 0.000
Tm2 0.500 0.500 0.000
Tm3 0.828 0.796 0.252
Tm4 0.172 0.456 0.252
Tm5 0.328 0.956 0.252
Tm6 0.672 0.296 0.252
Tm7 0.172 0.204 0.748
Tm8 0.828 0.544 0.748
Tm9 0.672 0.044 0.748
Tm10 0.328 0.704 0.748
Ag1 0.000 0.212 0.425
Ag2 0.500 0.712 0.425
Ag3 0.000 0.788 0.575
Ag4 0.500 0.288 0.575
Rh1 0.636 0.866 0.000
Rh2 0.364 0.134 0.000
Rh3 0.136 0.634 0.000
Rh4 0.864 0.366 0.000

***

Entry 9:
A relaxed structure of Tm4Ag2Rh. Source: the Alexandria database, functional PBE-GGA.

Summary:
The calculation puts the total magnetization at 0.0 μB/cell. As for the total energy: -33.524 eV/cell. For the density of states at the Fermi level, the calculation gives 5.6 states/eV/cell. As for the volume: 170.9 Å³ per cell.

Cell: 4.956 4.956 8.527 Å, 73.11 73.11 60.00°
Fractional positions:
Tm1 0.878 0.878 0.366
Tm2 0.122 0.122 0.634
Tm3 0.627 0.627 0.118
Tm4 0.373 0.373 0.882
Ag1 0.752 0.752 0.744
Ag2 0.248 0.248 0.256
Rh1 0.000 0.000 0.000

***

Entry 10:
A relaxed structure of TmAgRh. Source: the Alexandria database, functional PBE-GGA.

Summary:
The calculation puts the total magnetization at 0.0 μB/cell. As for the total energy: -16.050 eV/cell. For the density of states at the Fermi level, the calculation gives 1.9 states/eV/cell. As for the volume: 57.4 Å³ per cell.

Cell: 3.493 3.493 5.316 Å, 109.18 109.18 90.00°
Fractional positions:
Tm1 0.938 0.938 0.875
Rh1 0.289 0.289 0.578
Ag1 0.623 0.623 0.246

***

Entry 11:
A relaxed structure of Tm3Ag2Rh. Source: the Alexandria database, functional PBE-GGA.

Summary:
The calculation puts the total magnetization at 0.0 μB/cell. As for the total energy: -29.740 eV/cell. For the density of states at the Fermi level, the calculation gives 4.5 states/eV/cell. As for the volume: 130.5 Å³ per cell.

Cell: 3.509 3.509 10.602 Å, 90.00 90.00 90.00°
Fractional positions:
Tm1 0.000 0.000 0.000
Tm2 0.000 0.000 0.652
Tm3 0.000 0.000 0.348
Ag1 0.500 0.500 0.827
Ag2 0.500 0.500 0.173
Rh1 0.500 0.500 0.500

***

Entry 12:
A relaxed structure of Tm6AgRh3. Source: the Alexandria database, functional PBE-GGA.

Summary:
The calculation puts the total magnetization at 0.0 μB/cell. As for the total energy: -115.102 eV/cell. For the density of states at the Fermi level, the calculation gives 12.3 states/eV/cell. As for the volume: 488.8 Å³ per cell.

Cell: 6.568 8.865 8.865 Å, 108.77 90.00 90.00°
Fractional positions:
Tm1 0.153 0.723 0.652
Tm2 0.653 0.652 0.723
Tm3 0.211 0.480 0.887
Tm4 0.711 0.887 0.480
Tm5 0.258 0.970 0.030
Tm6 0.644 0.257 0.743
Tm7 0.144 0.743 0.257
Tm8 0.758 0.030 0.970
Tm9 0.211 0.113 0.520
Tm10 0.711 0.520 0.113
Tm11 0.153 0.348 0.277
Tm12 0.653 0.277 0.348
Ag1 0.078 0.160 0.840
Ag2 0.578 0.840 0.160
Rh1 0.449 0.966 0.733
Rh2 0.949 0.733 0.966
Rh3 0.378 0.413 0.587
Rh4 0.878 0.587 0.413
Rh5 0.949 0.034 0.267
Rh6 0.449 0.267 0.034